No. 1
First-principles (PBE with a Hubbard U) data for a geometry-optimized Cs2GaMoO4 structure, as listed in Alexandria via LeMat-Bulk.

Values from the calculation:
**Total moment**: 0.126 μB/atom
**Final energy**: -0.1963 Ha/atom
**Space-group type**: Fddd

a b c (Å): 12.8434 11.2807 7.3377
angles (deg): 84.40 60.94 34.65
Sites, in units of the cell vectors:
Cs1 0.0537 0.0537 0.6963
Cs2 0.3037 0.3037 0.9463
Cs3 0.6963 0.6963 0.0537
Cs4 0.9463 0.9463 0.3037
Ga1 0.3750 0.3750 0.3750
Ga2 0.6250 0.6250 0.6250
Mo1 0.1250 0.1250 0.1250
Mo2 0.8750 0.8750 0.8750
O1 0.0190 0.6739 0.5544
O2 0.2527 0.5544 0.6739
O3 0.3261 0.9810 0.7473
O4 0.4456 0.7473 0.9810
O5 0.5544 0.2527 0.0190
O6 0.6739 0.0190 0.2527
O7 0.7473 0.4456 0.3261
O8 0.9810 0.3261 0.4456

No. 2
First-principles (PBE with a Hubbard U) data for a geometry-optimized CsGaMoO4 structure, as listed in Alexandria via LeMat-Bulk.

Values from the calculation:
**Total moment**: 0.286 μB/atom
**DOS at the Fermi energy**: 0.000 states/eV per cell
**Final energy**: -0.2213 Ha/atom
**Space-group type**: P2_1/m

a b c (Å): 5.5768 5.6122 7.9011
angles (deg): 90.00 91.36 90.00
Sites, in units of the cell vectors:
Cs1 0.2406 0.2500 0.1059
Cs2 0.7594 0.7500 0.8941
Ga1 0.3414 0.2500 0.6429
Ga2 0.6586 0.7500 0.3571
Mo1 0.1747 0.7500 0.4623
Mo2 0.8253 0.2500 0.5377
O1 0.0936 0.0156 0.6494
O2 0.0936 0.4844 0.6494
O3 0.3674 0.7500 0.2377
O4 0.4945 0.2500 0.4338
O5 0.5055 0.7500 0.5662
O6 0.6326 0.2500 0.7623
O7 0.9064 0.5156 0.3506
O8 0.9064 0.9844 0.3506